Computed, not measured: Sc3AlCu2 after structural relaxation at the PBE-GGA level of DFT.

The structure belongs to space group P4/mmm (No. 123); the cell edges are 3.2623, 3.2623 and 10.1681 Å and the angles 90.00°, 90.00° and 90.00°. Symmetry generates all atoms from Sc at (0.0000, 0.0000, 0.0000), Sc at (0.0000, 0.0000, 0.3204), Al at (0.5000, 0.5000, 0.5000) and Cu at (0.5000, 0.5000, 0.1654).

The uncorrected energy is -5.50 eV per atom. Its density of states at the Fermi level is 4.27 states/eV/f.u. The value obtained for the formation energy is -345 meV/atom. The spin magnetization comes out at 0.000 μB/f.u.



Computed, not measured: Ca2CuSe after structural relaxation at the PBE-GGA level of DFT.

The structure belongs to space group F-43m (No. 216); the cell edges are 7.2767, 7.2767 and 7.2767 Å and the angles 90.00°, 90.00° and 90.00°. Symmetry generates all atoms from Ca at (0.0000, 0.0000, 0.0000), Ca at (0.2500, 0.2500, 0.2500), Cu at (0.0000, 0.0000, 0.5000) and Se at (0.2500, 0.2500, 0.7500).

The uncorrected energy is -3.07 eV per atom. Its density of states at the Fermi level is 1.51 states/eV/f.u. The spin magnetization comes out at 0.000 μB/f.u.



Look up the uncorrected energy of the first one.
-5.50 eV per atom



Copy entry 1 word for word.
Computed, not measured: Sc3AlCu2 after structural relaxation at the PBE-GGA level of DFT.

The structure belongs to space group P4/mmm (No. 123); the cell edges are 3.2623, 3.2623 and 10.1681 Å and the angles 90.00°, 90.00° and 90.00°. Symmetry generates all atoms from Sc at (0.0000, 0.0000, 0.0000), Sc at (0.0000, 0.0000, 0.3204), Al at (0.5000, 0.5000, 0.5000) and Cu at (0.5000, 0.5000, 0.1654).

The uncorrected energy is -5.50 eV per atom. Its density of states at the Fermi level is 4.27 states/eV/f.u. The value obtained for the formation energy is -345 meV/atom. The spin magnetization comes out at 0.000 μB/f.u.